# 1
A plane-wave DFT calculation with PBE was carried out for an optimized crystal structure of Ac2Sm5Y.

Cell and atoms, written as CIF:
```
data_Ac2Sm5Y
_cell_length_a 11.028
_cell_length_b 11.028
_cell_length_c 11.028
_cell_angle_alpha 152.27
_cell_angle_beta 152.27
_cell_angle_gamma 39.61
_space_group_name_H-M_alt 'P 1'
_space_group_IT_number 1
loop_
_space_group_symop_operation_xyz
'x,y,z'
loop_
_atom_site_label
_atom_site_fract_x
_atom_site_fract_y
_atom_site_fract_z
_atom_site_occupancy
Ac1 0.250 0.250 0.000 1
Ac2 0.750 0.750 0.000 1
Sm1 0.000 0.000 0.000 1
Sm2 0.119 0.619 0.500 1
Sm3 0.381 0.881 0.500 1
Sm4 0.619 0.119 0.500 1
Sm5 0.881 0.381 0.500 1
Y1 0.500 0.500 0.000 1
```

**E_tot**: -4.744 eV per atom
**ΔH_f (0 K)**: 3.9 kJ/mol of atoms


# 2
A plane-wave DFT calculation with PBE was carried out for an optimized crystal structure of Al2ZnSi2.

Cell and atoms, written as CIF:
```
data_Al2ZnSi2
_cell_length_a 7.282
_cell_length_b 7.282
_cell_length_c 7.282
_cell_angle_alpha 152.00
_cell_angle_beta 152.00
_cell_angle_gamma 40.01
_space_group_name_H-M_alt 'P 1'
_space_group_IT_number 1
loop_
_space_group_symop_operation_xyz
'x,y,z'
loop_
_atom_site_label
_atom_site_fract_x
_atom_site_fract_y
_atom_site_fract_z
_atom_site_occupancy
Al1 0.101 0.101 0.000 1
Al2 0.899 0.899 0.000 1
Zn1 0.500 0.500 0.000 1
Si1 0.250 0.750 0.500 1
Si2 0.750 0.250 0.500 1
```

**E_tot**: -3.687 eV per atom
**ΔE_f (raw)**: 0.23 eV per atom


# 3
A plane-wave DFT calculation with PBE was carried out for an optimized crystal structure of AcTb2Tl3Te6.

Cell and atoms, written as CIF:
```
data_AcTb2Tl3Te6
_cell_length_a 7.940
_cell_length_b 7.940
_cell_length_c 8.591
_cell_angle_alpha 98.88
_cell_angle_beta 98.88
_cell_angle_gamma 119.94
_space_group_name_H-M_alt 'P 1'
_space_group_IT_number 1
loop_
_space_group_symop_operation_xyz
'x,y,z'
loop_
_atom_site_label
_atom_site_fract_x
_atom_site_fract_y
_atom_site_fract_z
_atom_site_occupancy
Ac1 0.000 0.000 0.000 1
Tb1 0.333 0.667 0.000 1
Tb2 0.667 0.333 0.000 1
Tl1 0.162 0.838 0.500 1
Tl2 0.500 0.500 0.500 1
Tl3 0.838 0.162 0.500 1
Te1 0.074 0.425 0.220 1
Te2 0.280 0.280 0.784 1
Te3 0.425 0.074 0.220 1
Te4 0.575 0.926 0.780 1
Te5 0.720 0.720 0.216 1
Te6 0.926 0.575 0.780 1
```

**E_tot**: -4.358 eV per atom
**ΔE_f (raw)**: -1.08 eV per atom


# 4
A plane-wave DFT calculation with PBE was carried out for an optimized crystal structure of Cs2PaTlBr6.

Cell and atoms, written as CIF:
```
data_Cs2PaTlBr6
_cell_length_a 14.571
_cell_length_b 14.571
_cell_length_c 14.571
_cell_angle_alpha 35.11
_cell_angle_beta 35.11
_cell_angle_gamma 35.11
_space_group_name_H-M_alt 'P 1'
_space_group_IT_number 1
loop_
_space_group_symop_operation_xyz
'x,y,z'
loop_
_atom_site_label
_atom_site_fract_x
_atom_site_fract_y
_atom_site_fract_z
_atom_site_occupancy
Cs1 0.129 0.129 0.129 1
Cs2 0.273 0.273 0.273 1
Cs3 0.727 0.727 0.727 1
Cs4 0.871 0.871 0.871 1
Pa1 0.000 0.000 0.000 1
Pa2 0.500 0.500 0.500 1
Tl1 0.414 0.414 0.414 1
Tl2 0.586 0.586 0.586 1
Br1 0.123 0.636 0.636 1
Br2 0.191 0.191 0.743 1
Br3 0.191 0.743 0.191 1
Br4 0.257 0.809 0.809 1
Br5 0.364 0.364 0.877 1
Br6 0.364 0.877 0.364 1
Br7 0.636 0.123 0.636 1
Br8 0.636 0.636 0.123 1
Br9 0.743 0.191 0.191 1
Br10 0.809 0.257 0.809 1
Br11 0.809 0.809 0.257 1
Br12 0.877 0.364 0.364 1
```

**E_tot**: -3.754 eV per atom
**ΔE_f (raw)**: -1.39 eV per atom


# 5
A plane-wave DFT calculation with PBE was carried out for an optimized crystal structure of Sc2AgS.

Cell and atoms, written as CIF:
```
data_Sc2AgS
_cell_length_a 7.527
_cell_length_b 7.527
_cell_length_c 7.527
_cell_angle_alpha 27.35
_cell_angle_beta 27.35
_cell_angle_gamma 27.35
_space_group_name_H-M_alt 'P 1'
_space_group_IT_number 1
loop_
_space_group_symop_operation_xyz
'x,y,z'
loop_
_atom_site_label
_atom_site_fract_x
_atom_site_fract_y
_atom_site_fract_z
_atom_site_occupancy
Sc1 0.000 0.000 0.000 1
Sc2 0.192 0.192 0.192 1
Ag1 0.429 0.429 0.429 1
S1 0.597 0.597 0.597 1
```

**E_tot**: -5.856 eV per atom
**ΔE_f (raw)**: -0.95 eV per atom


# 6
A plane-wave DFT calculation with PBE was carried out for an optimized crystal structure of KLaRe.

Cell and atoms, written as CIF:
```
data_KLaRe
_cell_length_a 5.075
_cell_length_b 5.075
_cell_length_c 5.075
_cell_angle_alpha 60.00
_cell_angle_beta 60.00
_cell_angle_gamma 60.00
_space_group_name_H-M_alt 'P 1'
_space_group_IT_number 1
loop_
_space_group_symop_operation_xyz
'x,y,z'
loop_
_atom_site_label
_atom_site_fract_x
_atom_site_fract_y
_atom_site_fract_z
_atom_site_occupancy
K1 0.000 0.000 0.000 1
La1 0.500 0.500 0.500 1
Re1 0.250 0.250 0.250 1
```

**E_tot**: -4.711 eV per atom
**Relative energy among the computed polymorphs**: 11.41 kcal/mol of atoms
**ΔH_f (0 K)**: 139.5 kJ/mol of atoms


Total moment for the records above, in order: 0.00 0.00 0.00 0.20 0.00 0.35 μB/atom